No. 1
Here is a relaxed NaVN2O crystal from Alexandria via LeMat-Bulk. Energies are from GGA+U.

The value obtained for the calculated volume is 15.04 Å³/atom. As for the raw total energy: -4.20 eV per atom.

The structure belongs to space group P4/mmm (No. 123); the cell edges are 4.2068, 4.2068 and 4.2486 Å and the angles 90.00°, 90.00° and 90.00°. Symmetry generates all atoms from Na at (0.0000, 0.0000, 0.0000), V at (0.5000, 0.5000, 0.5000), N at (0.0000, 0.5000, 0.0000) and O at (0.0000, 0.0000, 0.5000).

=====

No. 2
Here is a relaxed NaVN2O crystal from Alexandria via LeMat-Bulk. Energies are from GGA+U.

The value obtained for the calculated volume is 11.47 Å³/atom. As for the raw total energy: -6.20 eV per atom.

The structure belongs to space group P4/mmm (No. 123); the cell edges are 3.8560, 3.8560 and 3.8588 Å and the angles 90.00°, 90.00° and 90.00°. Symmetry generates all atoms from Na at (0.0000, 0.0000, 0.0000), V at (0.5000, 0.5000, 0.5000), N at (0.0000, 0.5000, 0.5000) and O at (0.5000, 0.5000, 0.0000).

=====

No. 3
Here is a relaxed Na4WN2O2 crystal from Alexandria via LeMat-Bulk. Energies are from GGA+U.

The value obtained for the calculated volume is 15.77 Å³/atom. As for the raw total energy: -5.37 eV per atom.

The structure belongs to space group P-1 (No. 2); the cell edges are 5.9184, 5.9524 and 9.0644 Å and the angles 83.35°, 71.43° and 69.72°. Symmetry generates all atoms from Na at (0.0205, 0.2565, 0.4490), Na at (0.1140, 0.7217, 0.1876), Na at (0.2588, 0.2361, 0.0154), Na at (0.4446, 0.2418, 0.5937), W at (0.3415, 0.7184, 0.7650), N at (0.2014, 0.9622, 0.6416), N at (0.3404, 0.4575, 0.3542), O at (0.1420, 0.5120, 0.8185) and O at (0.3508, 0.8412, 0.9475).

=====

No. 4
Here is a relaxed Na3WNO3 crystal from Alexandria via LeMat-Bulk. Energies are from GGA+U.

The value obtained for the calculated volume is 16.63 Å³/atom. As for the raw total energy: -5.80 eV per atom.

The structure belongs to space group Pmn2_1 (No. 31); the cell edges are 7.3959, 6.3021 and 5.7104 Å and the angles 90.00°, 90.00° and 90.00°. Symmetry generates all atoms from Na at (0.0000, 0.1651, 0.0000), Na at (0.2460, 0.3285, 0.4978), W at (0.0000, 0.8282, 0.4889), N at (0.0000, 0.8244, 0.1756), O at (0.0000, 0.1117, 0.5876) and O at (0.2088, 0.6868, 0.5900).